1.
VASP calculation (PBE) on a geometry-optimized InNiTeN2 structure.

Output
Offset from the most stable computed form: 437 meV/atom
Theoretical density: 5.1 g/cm³
ΔE_f (raw): 158.38 kJ per mole of atoms

Lattice parameters (Å, degrees): 4.127 4.127 6.308 90.00 90.00 90.00
Each line ends with the local moment (μB).
Fractional positions:
Ni1 0.500 0.500 0.500  0.81
N1 0.000 0.500 0.000  1.07
N2 0.500 0.000 0.000  1.07
Te1 0.000 0.000 0.500  0.18
In1 0.000 0.000 0.000  -0.01

---

2.
VASP calculation (PBE) on a geometry-optimized AcSbAs2Pd4 structure.

Output
Theoretical density: 9.3 g/cm³
ΔE_f (raw): -66.75 kJ per mole of atoms

Lattice parameters (Å, degrees): 4.495 4.495 8.134 90.00 90.00 90.00
Fractional positions:
Ac1 0.000 0.000 0.500
Sb1 0.000 0.000 0.000
As1 0.500 0.500 0.340
As2 0.500 0.500 0.660
Pd1 0.000 0.500 0.189
Pd2 0.500 0.000 0.811
Pd3 0.500 0.000 0.189
Pd4 0.000 0.500 0.811

---

3.
VASP calculation (PBE) on a geometry-optimized CaZr2BIr structure.

Output
Offset from the most stable computed form: 0 meV/atom
Theoretical density: 7.0 g/cm³
ΔE_f: 0.103 eV/atom

Lattice parameters (Å, degrees): 4.520 4.941 4.520 90.00 90.00 90.00
Fractional positions:
Ca1 0.000 0.500 0.000
Ir1 0.500 0.500 0.500
B1 0.000 0.000 0.000
Zr1 0.000 0.000 0.500
Zr2 0.500 0.000 0.000

---

4.
VASP calculation (PBE) on a geometry-optimized BIr2Cl structure.

Output
Offset from the most stable computed form: 0 meV/atom
Theoretical density: 10.9 g/cm³
ΔE_f (raw): 50.06 kJ per mole of atoms

Lattice parameters (Å, degrees): 4.948 4.948 6.386 67.21 67.21 90.00
Fractional positions:
B1 0.500 0.500 0.000
B2 0.250 0.750 0.500
Ir1 0.551 0.125 0.250
Ir2 0.199 0.625 0.250
Ir3 0.375 0.449 0.750
Ir4 0.875 0.801 0.750
Cl1 0.000 0.000 0.000
Cl2 0.750 0.250 0.500